Entry 1:
Ca2NdMg3 | PBE | relaxed

Summary:
- calculated total energy (eV/f.u.) = -14.06
- space group = P4/mmm

Cell lengths 3.879, 3.879, 12.206 Å; angles 90.00, 90.00, 90.00 degrees
Site moments in Bohr magnetons follow the coordinates.
Atoms (fractional coordinates):
1 Ca 0.500 0.500 0.831  0.00
2 Ca 0.500 0.500 0.169  0.00
3 Nd 0.500 0.500 0.500  0.10
4 Mg 0.000 0.000 0.000  0.00
5 Mg 0.000 0.000 0.661  0.00
6 Mg 0.000 0.000 0.339  0.00



Entry 2:
CaNd2Mg3 | PBE | relaxed

Summary:
- calculated total energy (eV/f.u.) = -16.92
- space group = P4/mmm

Cell lengths 3.920, 3.920, 11.722 Å; angles 90.00, 90.00, 90.00 degrees
Atoms (fractional coordinates):
1 Ca 0.500 0.500 0.500
2 Nd 0.500 0.500 0.838
3 Nd 0.500 0.500 0.162
4 Mg 0.000 0.000 0.000
5 Mg 0.000 0.000 0.672
6 Mg 0.000 0.000 0.328



Entry 3:
CaNd2Mg6 | PBE | relaxed

Summary:
- ΔE to the lowest computed polymorph (meV/atom) = 110
- calculated total energy (eV/f.u.) = -20.83
- space group = C2/m

Cell lengths 7.371, 6.314, 6.314 Å; angles 62.66, 97.57, 97.57 degrees
Atoms (fractional coordinates):
1 Ca 0.000 0.000 0.000
2 Nd 0.870 0.656 0.656
3 Nd 0.130 0.344 0.344
4 Mg 0.373 0.373 0.842
5 Mg 0.300 0.834 0.834
6 Mg 0.373 0.842 0.373
7 Mg 0.627 0.627 0.158
8 Mg 0.700 0.166 0.166
9 Mg 0.627 0.158 0.627



Entry 4:
Ca4NdMg5 | PBE | relaxed

Summary:
- calculated total energy (eV/f.u.) = -21.58
- space group = P4/mmm

Cell lengths 3.929, 3.929, 19.954 Å; angles 90.00, 90.00, 90.00 degrees
Atoms (fractional coordinates):
1 Ca 0.000 0.000 0.197
2 Ca 0.000 0.000 0.399
3 Ca 0.000 0.000 0.601
4 Ca 0.000 0.000 0.803
5 Nd 0.000 0.000 0.000
6 Mg 0.500 0.500 0.097
7 Mg 0.500 0.500 0.298
8 Mg 0.500 0.500 0.500
9 Mg 0.500 0.500 0.702
10 Mg 0.500 0.500 0.903



Entry 5:
Ca3Nd2Mg3 | PBE | relaxed

Summary:
- calculated total energy (eV/f.u.) = -20.68
- space group = Immm

Cell lengths 3.806, 5.700, 12.402 Å; angles 103.29, 98.83, 90.00 degrees
Atoms (fractional coordinates):
1 Ca 0.624 0.624 0.249
2 Ca 0.376 0.376 0.751
3 Ca 0.500 0.000 0.000
4 Nd 0.734 0.234 0.467
5 Nd 0.266 0.766 0.533
6 Mg 0.117 0.117 0.235
7 Mg 0.000 0.500 0.000
8 Mg 0.883 0.883 0.765



Entry 6:
CaNd4Mg5 | PBE | relaxed

Summary:
- calculated total energy (eV/f.u.) = -30.08
- space group = P4/mmm

Cell lengths 3.916, 3.916, 19.426 Å; angles 90.00, 90.00, 90.00 degrees
Atoms (fractional coordinates):
1 Ca 0.000 0.000 0.000
2 Nd 0.000 0.000 0.204
3 Nd 0.000 0.000 0.401
4 Nd 0.000 0.000 0.599
5 Nd 0.000 0.000 0.796
6 Mg 0.500 0.500 0.104
7 Mg 0.500 0.500 0.302
8 Mg 0.500 0.500 0.500
9 Mg 0.500 0.500 0.698
10 Mg 0.500 0.500 0.896



Entry 7:
Ca2Nd3Mg3 | PBE | relaxed

Summary:
- calculated total energy (eV/f.u.) = -23.28
- space group = Immm

Cell lengths 3.916, 5.657, 12.074 Å; angles 103.55, 99.33, 90.00 degrees
Site moments in Bohr magnetons follow the coordinates.
Atoms (fractional coordinates):
1 Ca 0.265 0.765 0.531  0.04
2 Ca 0.735 0.235 0.469  0.04
3 Nd 0.382 0.382 0.764  0.07
4 Nd 0.618 0.618 0.236  0.07
5 Nd 0.500 0.000 0.000  -0.03
6 Mg 0.884 0.884 0.767  0.00
7 Mg 0.000 0.500 0.000  0.00
8 Mg 0.116 0.116 0.233  0.00



Entry 8:
Ca2NdMg2 | PBE | relaxed

Summary:
- calculated total energy (eV/f.u.) = -11.61
- space group = P-3m1

Cell lengths 5.455, 5.455, 6.818 Å; angles 90.03, 90.03, 60.04 degrees
Atoms (fractional coordinates):
1 Ca 0.833 0.333 0.649
2 Ca 0.167 0.667 0.351
3 Nd 0.500 0.000 0.000
4 Mg 0.834 0.334 0.133
5 Mg 0.166 0.666 0.867



Entry 9:
Ca2NdMg | PBE | relaxed

Summary:
- ΔE to the lowest computed polymorph (meV/atom) = 191
- calculated total energy (eV/f.u.) = -9.64
- space group = R-3m

Cell lengths 3.585, 3.585, 12.895 Å; angles 82.01, 82.01, 60.00 degrees
Atoms (fractional coordinates):
1 Ca 0.093 0.093 0.721
2 Ca 0.907 0.907 0.279
3 Nd 0.000 0.000 0.000
4 Mg 0.500 0.500 0.500



Entry 10:
CaNd2Mg4 | PBE | relaxed

Summary:
- ΔE to the lowest computed polymorph (meV/atom) = 0
- calculated total energy (eV/f.u.) = -17.47
- space group = R-3m

Cell lengths 5.466, 5.466, 8.480 Å; angles 71.20, 71.20, 60.00 degrees
Atoms (fractional coordinates):
1 Ca 0.000 0.000 0.000
2 Nd 0.719 0.719 0.843
3 Nd 0.281 0.281 0.157
4 Mg 0.863 0.863 0.412
5 Mg 0.137 0.137 0.588
6 Mg 0.570 0.570 0.291
7 Mg 0.430 0.430 0.709



Entry 11:
Ca2NdMg | PBE | relaxed

Summary:
- ΔE to the lowest computed polymorph (meV/atom) = 76
- calculated total energy (eV/f.u.) = -10.10
- space group = R3m

Cell lengths 3.730, 3.730, 11.880 Å; angles 80.97, 80.97, 60.00 degrees
Atoms (fractional coordinates):
1 Ca 0.078 0.078 0.766
2 Ca 0.255 0.255 0.234
3 Nd 0.500 0.500 0.499
4 Mg 0.666 0.666 0.001



Entry 12:
Ca2NdMg | PBE | relaxed

Summary:
- ΔE to the lowest computed polymorph (meV/atom) = 58
- calculated total energy (eV/f.u.) = -10.17
- space group = P4/mmm

Cell lengths 5.469, 5.036, 5.036 Å; angles 90.00, 90.00, 90.00 degrees
Atoms (fractional coordinates):
1 Ca 0.000 0.000 0.500
2 Ca 0.000 0.500 0.000
3 Nd 0.500 0.500 0.500
4 Mg 0.500 0.000 0.000



Repeat the second record exactly.
CaNd2Mg3 | PBE | relaxed

Summary:
- calculated total energy (eV/f.u.) = -16.92
- space group = P4/mmm

Cell lengths 3.920, 3.920, 11.722 Å; angles 90.00, 90.00, 90.00 degrees
Atoms (fractional coordinates):
1 Ca 0.500 0.500 0.500
2 Nd 0.500 0.500 0.838
3 Nd 0.500 0.500 0.162
4 Mg 0.000 0.000 0.000
5 Mg 0.000 0.000 0.672
6 Mg 0.000 0.000 0.328